[1]
Pu2Ge4PtAu3: optimized geometry, PBE.

Values from the calculation:
Formation energy, eV/atom: -0.367
Mass density, g cm⁻³: 12.654

Cell: 4.3769 4.3769 10.7168 Å, 90.00 90.00 90.00°
Closest atoms and distances in Å follow each position.
Positions (direct):
Ge1 0.5000 0.5000 0.0000  4 Au 2.64
Ge2 0.0000 0.5000 0.3704  3 Au 2.50-2.59, 2 Pt 2.59
Au1 0.5000 0.0000 0.8625  5 Ge 2.50-2.64
Au2 0.0000 0.0000 0.5000  4 Ge 2.59
Pt1 0.5000 0.5000 0.5000  4 Ge 2.59
Ge3 0.5000 0.0000 0.6296  3 Au 2.50-2.59, 2 Pt 2.59
Au3 0.0000 0.5000 0.1375  5 Ge 2.50-2.64
Ge4 0.0000 0.0000 0.0000  4 Au 2.64
Pu1 0.5000 0.0000 0.2608  8 Ge 3.31-3.55, 6 Au 3.37, 2 Pt 3.37
Pu2 0.0000 0.5000 0.7392  8 Ge 3.31-3.55, 6 Au 3.37, 2 Pt 3.37

[2]
RbMgCr2Cl8: optimized geometry, PBE.

Values from the calculation:
Raw formation energy, eV/atom: -1.255
Mass density, g cm⁻³: 2.480

Cell: 6.5349 6.5349 9.7643 Å, 70.45 70.45 60.00°
Closest atoms and distances in Å follow each position.
Positions (direct):
Cl1 0.1837 0.1837 0.4488  1 Cr 2.21
Cl2 0.8163 0.8163 0.5512  1 Cr 2.21
Cl3 0.0665 0.3638 0.8378  1 Cr 2.33, 1 Mg 2.53
Cr1 0.7344 0.7344 0.7968  4 Cl 2.21-2.33
Cl4 0.7319 0.0665 0.8378  1 Cr 2.33, 1 Mg 2.53
Cl5 0.9335 0.6362 0.1622  1 Cr 2.33, 1 Mg 2.53
Mg1 0.0000 0.0000 0.0000  6 Cl 2.53
Rb1 0.5000 0.5000 0.5000  12 Cl 3.74-3.80
Cl6 0.3638 0.7319 0.8378  1 Cr 2.33, 1 Mg 2.53
Cl7 0.6362 0.2681 0.1622  1 Cr 2.33, 1 Mg 2.53
Cr2 0.2656 0.2656 0.2032  4 Cl 2.21-2.33
Cl8 0.2681 0.9335 0.1622  1 Cr 2.33, 1 Mg 2.53

[3]
Tc2IN: optimized geometry, PBE.

Values from the calculation:
Raw formation energy, eV/atom: 0.515
Mass density, g cm⁻³: 7.880

Cell: 5.1283 5.1283 6.5036 Å, 66.78 66.78 90.00°
Closest atoms and distances in Å follow each position.
Positions (direct):
I1 0.0000 0.0000 0.0000  4 Tc 2.66
Tc1 0.8750 0.7542 0.7500  2 N 1.98
N1 0.5000 0.5000 0.0000  4 Tc 1.98
Tc2 0.2458 0.6250 0.2500  2 N 1.98
N2 0.2500 0.7500 0.5000  4 Tc 1.98
Tc3 0.3750 0.4958 0.7500  2 N 1.98
I2 0.7500 0.2500 0.5000  4 Tc 2.66
Tc4 0.5042 0.1250 0.2500  2 N 1.98

[4]
RhIBr: optimized geometry, PBE.

Values from the calculation:
Raw formation energy, eV/atom: -0.119
Mass density, g cm⁻³: 5.814

Cell: 7.6948 3.7979 12.8084 Å, 90.00 109.04 90.00°
Closest atoms and distances in Å follow each position.
Positions (direct):
I1 0.4094 0.0000 0.6698  2 Rh 2.61
Br1 0.8672 0.0000 0.6721  2 Rh 2.57
Br2 0.8672 0.5000 0.1721  2 Rh 2.57
I2 0.4094 0.5000 0.1698  2 Rh 2.61
Rh1 0.7607 0.0000 0.4306  2 Br 2.53, 2 I 2.61
I3 0.5430 0.0000 0.9538  3 Rh 2.61-2.80
Rh2 0.7607 0.5000 0.9306  2 Br 2.53, 2 I 2.61
I4 0.5430 0.5000 0.4538  3 Rh 2.61-2.80
Br3 0.9844 0.0000 0.9445  2 Rh 2.53
Rh3 0.6496 0.0000 0.1846  2 Br 2.57, 3 I 2.61-2.80
Br4 0.9844 0.5000 0.4445  2 Rh 2.53
Rh4 0.6496 0.5000 0.6846  2 Br 2.57, 3 I 2.61-2.80

[5]
ReMo2Ru: optimized geometry, PBE.

Values from the calculation:
Formation energy, eV/atom: 0.219
Mass density, g cm⁻³: 13.015

Cell: 9.3973 9.3973 9.3973 Å, 16.89 16.89 16.89°
Closest atoms and distances in Å follow each position.
Positions (direct):
Mo1 0.0036 0.0036 0.0036  3 Ru 2.75, 9 Mo 2.76-2.93
Mo2 0.2483 0.2483 0.2483  9 Mo 2.76-2.93, 3 Re 2.84
Ru1 0.7511 0.7511 0.7511  3 Re 2.72, 3 Mo 2.75, 6 Ru 2.76
Re1 0.4970 0.4970 0.4970  3 Ru 2.72, 6 Re 2.76, 3 Mo 2.84

[6]
ZrSiPO2: optimized geometry, PBE.

Values from the calculation:
Raw formation energy, eV/atom: -1.089
Mass density, g cm⁻³: 3.374

Cell: 4.0076 4.0076 5.5859 Å, 90.00 90.00 90.00°
Closest atoms and distances in Å follow each position.
Positions (direct):
Zr1 0.0000 0.0000 0.0000  4 O 2.00
Si1 0.5000 0.5000 0.5000  4 P 2.83
O1 0.5000 0.0000 0.0000  2 Zr 2.00
P1 0.0000 0.0000 0.5000  2 Zr 2.79, 4 Si 2.83
O2 0.0000 0.5000 0.0000  2 Zr 2.00

[7]
Ho2TlHg: optimized geometry, PBE.

Values from the calculation:
Formation energy, eV/atom: -0.311
Mass density, g cm⁻³: 10.791

Cell: 3.7366 3.7366 9.5976 Å, 78.77 78.77 60.00°
Closest atoms and distances in Å follow each position.
Positions (direct):
Tl1 0.5000 0.5000 0.5000  6 Ho 3.22
Ho1 0.7479 0.7479 0.7562  3 Hg 3.14, 3 Tl 3.22
Ho2 0.2521 0.2521 0.2438  3 Hg 3.14, 3 Tl 3.22
Hg1 0.0000 0.0000 0.0000  6 Ho 3.14

[8]
LaP2Br: optimized geometry, PBE.

Values from the calculation:
Raw formation energy, eV/atom: -0.792
Mass density, g cm⁻³: 4.336

Cell: 4.1881 4.2125 7.4208 Å, 55.21 90.00 90.00°
Closest atoms and distances in Å follow each position.
Positions (direct):
P1 0.0000 0.0783 0.9219  1 P 2.09
Br1 0.5000 0.2500 0.2500  2 La 3.05
La1 0.5000 0.7500 0.7500  2 Br 3.05, 8 P 3.15
P2 0.0000 0.4217 0.5781  1 P 2.09

[9]
TiCrW2: optimized geometry, PBE.

Values from the calculation:
Formation energy, eV/atom: 0.718
Mass density, g cm⁻³: 11.965

Cell: 7.0083 7.0083 5.6160 Å, 51.39 51.39 90.00°
Closest atoms and distances in Å follow each position.
Positions (direct):
W1 0.6540 0.1250 0.2500  2 Cr 2.43, 2 W 2.67, 2 Ti 2.71
Ti1 0.2500 0.7500 0.5000  2 Cr 2.64, 4 W 2.71
Cr1 0.0000 0.0000 0.0000  4 W 2.43, 2 Ti 2.64
W2 0.3750 0.3460 0.7500  2 Cr 2.43, 2 W 2.67, 2 Ti 2.71
Cr2 0.7500 0.2500 0.5000  4 W 2.43, 2 Ti 2.64
Ti2 0.5000 0.5000 0.0000  2 Cr 2.64, 4 W 2.71
W3 0.8750 0.9040 0.7500  2 Cr 2.43, 2 W 2.67, 2 Ti 2.71
W4 0.0960 0.6250 0.2500  2 Cr 2.43, 2 W 2.67, 2 Ti 2.71

[10]
SmIn2Pd2: optimized geometry, PBE.

Values from the calculation:
Formation energy, eV/atom: -0.626
Mass density, g cm⁻³: 9.109

Cell: 4.9966 5.0302 5.1648 Å, 104.20 90.00 119.78°
Closest atoms and distances in Å follow each position.
Positions (direct):
In1 0.7723 0.5447 0.6751  5 Pd 2.75-2.96, 2 In 3.04
In2 0.2277 0.4553 0.3249  5 Pd 2.75-2.96, 2 In 3.04
Pd1 0.8853 0.7706 0.2300  5 In 2.75-2.96, 1 Pd 2.94, 2 Sm 3.05
Pd2 0.1147 0.2294 0.7700  5 In 2.75-2.96, 1 Pd 2.94, 2 Sm 3.05
Sm1 0.5000 0.0000 0.0000  6 Pd 3.05-3.24, 6 In 3.28-3.34

[11]
RbReN2: optimized geometry, PBE.

Values from the calculation:
Raw formation energy, eV/atom: -0.186
Mass density, g cm⁻³: 6.173

Cell: 5.8898 5.8898 6.2406 Å, 61.84 61.84 90.00°
Closest atoms and distances in Å follow each position.
Positions (direct):
Re1 0.7500 0.2500 0.5000  4 N 1.88
N1 0.8569 0.1250 0.2500  2 Re 1.88
Rb1 0.5000 0.5000 0.0000  12 N 3.40-3.79, 4 Re 3.75, 4 Rb 3.75
Re2 0.0000 0.0000 0.0000  4 N 1.88
N2 0.3750 0.1431 0.7500  2 Re 1.88
N3 0.8750 0.1069 0.7500  2 Re 1.88
Rb2 0.2500 0.7500 0.5000  12 N 3.40-3.79, 4 Re 3.75, 4 Rb 3.75
N4 0.8931 0.6250 0.2500  2 Re 1.88

[12]
ZnInH: optimized geometry, PBE.

Values from the calculation:
Mass density, g cm⁻³: 4.803
DFT total energy, eV per formula unit: -7.1

Cell: 2.9661 3.8289 11.3625 Å, 99.95 81.05 95.03°
Closest atoms and distances in Å follow each position.
Positions (direct):
In1 0.6288 0.8569 0.2244  2 In 2.97, 5 Zn 2.98-3.15
H1 0.0264 0.4930 0.4661  1 H 0.75
In2 0.3712 0.1431 0.7756  2 In 2.97, 5 Zn 2.98-3.15
H2 0.9736 0.5070 0.5339  1 H 0.75
Zn1 0.2196 0.2763 0.0547  4 Zn 2.61-2.80
Zn2 0.7804 0.7237 0.9453  4 Zn 2.61-2.80

[13]
Li8CuGe2: optimized geometry, PBE.

Values from the calculation:
Formation energy, eV/atom: -0.198
Mass density, g cm⁻³: 2.485

Cell: 4.4406 6.0079 7.6007 Å, 113.24 106.98 90.00°
Closest atoms and distances in Å follow each position.
Positions (direct):
Ge1 0.1823 0.6821 0.3646  10 Li 2.66-2.88
Ge2 0.8177 0.3179 0.6354  10 Li 2.66-2.88
Li1 0.1786 0.1792 0.3572  8 Li 2.63-2.91, 2 Ge 2.88
Li2 0.3463 0.1116 0.6927  1 Cu 2.58, 4 Li 2.63-2.82, 3 Ge 2.66-2.70
Li3 0.9999 0.2802 0.9997  3 Li 2.64-2.91, 2 Ge 2.75, 2 Cu 2.79
Li4 0.3468 0.5809 0.6937  1 Cu 2.58, 4 Li 2.63-2.82, 3 Ge 2.66-2.70
Li5 0.6532 0.4191 0.3063  1 Cu 2.58, 4 Li 2.63-2.82, 3 Ge 2.66-2.70
Li6 0.0001 0.7198 0.0003  3 Li 2.64-2.91, 2 Ge 2.75, 2 Cu 2.79
Cu1 0.5000 0.0000 0.0000  8 Li 2.58-2.79
Li7 0.8214 0.8208 0.6428  8 Li 2.63-2.91, 2 Ge 2.88
Li8 0.6537 0.8884 0.3073  1 Cu 2.58, 4 Li 2.63-2.82, 3 Ge 2.66-2.70

[14]
BeRh2: optimized geometry, PBE.

Values from the calculation:
Formation energy, eV/atom: 0.060
Mass density, g cm⁻³: 9.319

Cell: 5.3499 5.3499 5.3499 Å, 90.00 90.00 90.00°
Closest atoms and distances in Å follow each position.
Positions (direct):
Rh1 0.3513 0.1487 0.1487  3 Be 2.19
Be1 0.0000 0.5000 0.5000  6 Rh 2.19
Rh2 0.1487 0.6487 0.1487  3 Be 2.19
Rh3 0.6487 0.6487 0.3513  3 Be 2.19
Rh4 0.1487 0.8513 0.6487  3 Be 2.19
Rh5 0.3513 0.3513 0.6487  3 Be 2.19
Be2 0.0000 0.0000 0.0000  6 Rh 2.19
Rh6 0.8513 0.3513 0.8513  3 Be 2.19
Rh7 0.8513 0.1487 0.3513  3 Be 2.19
Be3 0.5000 0.5000 0.0000  6 Rh 2.19
Rh8 0.6487 0.8513 0.8513  3 Be 2.19
Be4 0.5000 0.0000 0.5000  6 Rh 2.19

[15]
Sr2LaPt2: optimized geometry, PBE.

Values from the calculation:
Formation energy, eV/atom: -0.782
Mass density, g cm⁻³: 8.162

Cell: 7.7581 7.7581 4.7617 Å, 90.00 90.00 90.00°
Closest atoms and distances in Å follow each position.
Positions (direct):
Pt1 0.6293 0.1293 0.0000  1 Pt 2.84, 2 La 3.05
La1 0.0000 0.0000 0.0000  4 Pt 3.05
Pt2 0.8707 0.6293 0.0000  1 Pt 2.84, 2 La 3.05
Sr1 0.8343 0.3343 0.5000  6 Pt 3.28-3.31, 1 Sr 3.64
Pt3 0.1293 0.3707 0.0000  1 Pt 2.84, 2 La 3.05
Sr2 0.6657 0.8343 0.5000  6 Pt 3.28-3.31, 1 Sr 3.64
Sr3 0.1657 0.6657 0.5000  6 Pt 3.28-3.31, 1 Sr 3.64
Pt4 0.3707 0.8707 0.0000  1 Pt 2.84, 2 La 3.05
La2 0.5000 0.5000 0.0000  4 Pt 3.05
Sr4 0.3343 0.1657 0.5000  6 Pt 3.28-3.31, 1 Sr 3.64

[16]
HoGa2Ni2Ge: optimized geometry, PBE.

Values from the calculation:
Formation energy, eV/atom: -0.288
Mass density, g cm⁻³: 7.825

Cell: 4.3791 4.3791 5.4712 Å, 90.00 90.00 90.00°
Closest atoms and distances in Å follow each position.
Positions (direct):
Ni1 0.5000 0.0000 0.0000  2 Ge 2.19
Ga1 0.5000 0.5000 0.2635  2 Ga 2.59-2.88, 4 Ni 2.62
Ge1 0.0000 0.0000 0.0000  4 Ni 2.19
Ga2 0.5000 0.5000 0.7365  2 Ga 2.59-2.88, 4 Ni 2.62
Ho1 0.0000 0.0000 0.5000  2 Ge 2.74
Ni2 0.0000 0.5000 0.0000  2 Ge 2.19

[17]
CdW2Cl: optimized geometry, PBE.

Values from the calculation:
Raw formation energy, eV/atom: 0.848
Mass density, g cm⁻³: 10.357

Cell: 5.1239 3.2905 4.9428 Å, 97.30 90.00 90.00°
Closest atoms and distances in Å follow each position.
Positions (direct):
W1 0.0000 0.9501 0.0677  2 W 2.36-2.50
Cd1 0.5000 0.2500 0.2500  2 Cl 2.79, 4 W 2.85
W2 0.0000 0.5499 0.4323  2 W 2.36-2.50
Cl1 0.5000 0.7500 0.7500  2 Cd 2.79, 4 W 3.03

[18]
CdPtSe2: optimized geometry, PBE.

Values from the calculation:
Raw formation energy, eV/atom: 0.112
Mass density, g cm⁻³: 7.332

Cell: 8.1588 8.1588 8.1588 Å, 27.96 27.96 27.96°
Closest atoms and distances in Å follow each position.
Positions (direct):
Cd1 0.5000 0.5000 0.5000  6 Se 2.78
Se1 0.9010 0.9010 0.9010  1 Pt 2.33
Se2 0.0990 0.0990 0.0990  1 Pt 2.33
Pt1 0.0000 0.0000 0.0000  2 Se 2.33

[19]
LaInSe: optimized geometry, PBE.

Values from the calculation:
Raw formation energy, eV/atom: -1.174
Mass density, g cm⁻³: 5.960

Cell: 4.9095 4.9095 9.3229 Å, 74.73 74.73 60.00°
Closest atoms and distances in Å follow each position.
Positions (direct):
Se1 0.7087 0.7087 0.8740  4 La 2.96-3.08
La1 0.4070 0.4070 0.7791  4 Se 2.96-3.08
La2 0.5930 0.5930 0.2209  4 Se 2.96-3.08
In1 0.1556 0.1556 0.5333  3 In 2.90
Se2 0.2913 0.2913 0.1260  4 La 2.96-3.08
In2 0.8444 0.8444 0.4667  3 In 2.90

[20]
KRhPb2: optimized geometry, PBE.

Values from the calculation:
Formation energy, eV/atom: 0.354
Mass density, g cm⁻³: 8.922

Cell: 5.2710 5.2710 5.2710 Å, 60.00 60.00 60.00°
Closest atoms and distances in Å follow each position.
Positions (direct):
Pb1 0.0000 0.0000 0.0000  4 Pb 3.23, 4 Rh 3.23
Pb2 0.2500 0.2500 0.2500  4 Pb 3.23, 4 K 3.23
Rh1 0.7500 0.7500 0.7500  4 K 3.23, 4 Pb 3.23
K1 0.5000 0.5000 0.5000  4 Pb 3.23, 4 Rh 3.23